Entry 1:
The following is a GGA-PBE calculation of an optimized crystal structure of Tb6Al3Cd, from the Alexandria database.

Values from the calculation:
Density of states at the Fermi level: 16.8 states/eV per cell
Energy of formation from the pure elements: -279.7 meV/atom

Cell: 9.245 5.154 11.385 Å, 90.00 107.82 90.00°
Space group P2_1/m (No. 11)
One atom of each set of equivalent atoms:
Tb  0.045  0.250  0.414 (multiplicity 2)
Tb  0.157  0.750  0.177 (multiplicity 2)
Tb  0.236  0.250  0.996 (multiplicity 2)
Tb  0.325  0.750  0.794 (multiplicity 2)
Tb  0.373  0.250  0.344 (multiplicity 2)
Tb  0.397  0.250  0.623 (multiplicity 2)
Al  0.033  0.750  0.878 (multiplicity 2)
Al  0.116  0.250  0.713 (multiplicity 2)
Al  0.273  0.750  0.472 (multiplicity 2)
Cd  0.458  0.750  0.091 (multiplicity 2)

=====

Entry 2:
The following is a GGA-PBE calculation of an optimized crystal structure of Tb8AlCd2, from the Alexandria database.

Values from the calculation:
Polymorph energy (0 for the lowest one): 0.35 eV/f.u.
Density of states at the Fermi level: 20.5 states/eV per cell
Energy of formation from the pure elements: -137.4 meV/atom

Cell: 17.988 5.262 7.066 Å, 90.00 107.33 90.00°
Space group C2/m (No. 12)
One atom of each set of equivalent atoms:
Tb  0.021  0.000  0.271 (multiplicity 4)
Tb  0.092  0.500  0.955 (multiplicity 4)
Tb  0.164  0.500  0.465 (multiplicity 4)
Tb  0.195  0.000  0.794 (multiplicity 4)
Al  0.000  0.500  0.500 (multiplicity 2)
Cd  0.184  0.000  0.210 (multiplicity 4)

=====

Entry 3:
The following is a GGA-PBE calculation of an optimized crystal structure of Tb4AlCd, from the Alexandria database.

Values from the calculation:
Polymorph energy (0 for the lowest one): 1.42 eV/f.u.
Density of states at the Fermi level: 29.0 states/eV per cell
Energy of formation from the pure elements: 33.2 meV/atom

Cell: 5.0892 5.0892 25.1833 Å, 90.00 90.00 120.00°
Space group R-3m (No. 166, hexagonal axes)
One atom of each set of equivalent atoms:
Tb  0.0000  0.0000  0.1221 (multiplicity 6)
Tb  0.0000  0.0000  0.3729 (multiplicity 6)
Al  0.0000  0.0000  0.0000 (multiplicity 3)
Cd  0.0000  0.0000  0.5000 (multiplicity 3)

=====

Entry 4:
The following is a GGA-PBE calculation of an optimized crystal structure of TbAlCd, from the Alexandria database.

Values from the calculation:
Density of states at the Fermi level: 4.4 states/eV per cell
Energy of formation from the pure elements: -206.1 meV/atom

Cell: 3.372 3.372 12.078 Å, 90.00 90.00 90.00°
Space group I4mm (No. 107)
One atom of each set of equivalent atoms:
Tb  0.000  0.000  0.000 (multiplicity 2)
Al  0.000  0.000  0.666 (multiplicity 2)
Cd  0.000  0.000  0.309 (multiplicity 2)

=====

Entry 5:
The following is a GGA-PBE calculation of an optimized crystal structure of Tb2Al3Cd, from the Alexandria database.

Values from the calculation:
Polymorph energy (0 for the lowest one): 0.56 eV/f.u.
Density of states at the Fermi level: 6.3 states/eV per cell
Energy of formation from the pure elements: -342.5 meV/atom

Cell: 3.813 4.603 15.991 Å, 90.00 90.00 90.00°
Space group Imm2 (No. 44)
One atom of each set of equivalent atoms:
Tb  0.000  0.000  0.000 (multiplicity 2)
Tb  0.000  0.500  0.281 (multiplicity 2)
Al  0.000  0.000  0.440 (multiplicity 2)
Al  0.000  0.500  0.682 (multiplicity 2)
Al  0.000  0.500  0.840 (multiplicity 2)
Cd  0.000  0.000  0.604 (multiplicity 2)

=====

Entry 6:
The following is a GGA-PBE calculation of an optimized crystal structure of Tb3Al2Cd3, from the Alexandria database.

Values from the calculation:
Density of states at the Fermi level: 20.9 states/eV per cell
Energy of formation from the pure elements: -324.0 meV/atom

Cell: 4.617 11.037 15.390 Å, 90.00 90.00 90.00°
Space group Cmcm (No. 63)
One atom of each set of equivalent atoms:
Tb  0.000  0.086  0.110 (multiplicity 8)
Tb  0.000  0.359  0.250 (multiplicity 4)
Al  0.000  0.205  0.607 (multiplicity 8)
Cd  0.000  0.355  0.750 (multiplicity 4)
Cd  0.000  0.379  0.036 (multiplicity 8)

=====

Entry 7:
The following is a GGA-PBE calculation of an optimized crystal structure of Tb2Al2Cd, from the Alexandria database.

Values from the calculation:
Density of states at the Fermi level: 8.0 states/eV per cell
Energy of formation from the pure elements: -408.2 meV/atom

Cell: 4.479 14.687 3.576 Å, 90.00 90.00 90.00°
Space group Cmmm (No. 65)
One atom of each set of equivalent atoms:
Tb  0.000  0.122  0.000 (multiplicity 4)
Al  0.000  0.298  0.500 (multiplicity 4)
Cd  0.000  0.500  0.500 (multiplicity 2)

=====

Entry 8:
The following is a GGA-PBE calculation of an optimized crystal structure of Tb4Al3Cd, from the Alexandria database.

Values from the calculation:
Polymorph energy (0 for the lowest one): 0.00 eV/f.u.
Density of states at the Fermi level: 4.6 states/eV per cell
Energy of formation from the pure elements: -378.2 meV/atom

Cell: 5.175 5.175 7.296 Å, 90.00 90.00 90.00°
Space group P4/mmm (No. 123)
One atom of each set of equivalent atoms:
Tb  0.000  0.500  0.246 (multiplicity 4)
Al  0.000  0.000  0.000 (multiplicity 1)
Al  0.000  0.000  0.500 (multiplicity 1)
Al  0.500  0.500  0.000 (multiplicity 1)
Cd  0.500  0.500  0.500 (multiplicity 1)

=====

Entry 9:
The following is a GGA-PBE calculation of an optimized crystal structure of TbAl2Cd, from the Alexandria database.

Values from the calculation:
Polymorph energy (0 for the lowest one): 0.00 eV/f.u.
Density of states at the Fermi level: 1.9 states/eV per cell
Energy of formation from the pure elements: -331.8 meV/atom

Cell: 4.417 4.417 4.328 Å, 90.00 90.00 90.00°
Space group P4/mmm (No. 123)
One atom of each set of equivalent atoms:
Tb  0.000  0.000  0.000 (multiplicity 1)
Al  0.000  0.500  0.500 (multiplicity 2)
Cd  0.500  0.500  0.000 (multiplicity 1)

=====

Entry 10:
The following is a GGA-PBE calculation of an optimized crystal structure of Tb2AlCd3, from the Alexandria database.

Values from the calculation:
Polymorph energy (0 for the lowest one): 0.04 eV/f.u.
Density of states at the Fermi level: 37.1 states/eV per cell
Energy of formation from the pure elements: -342.1 meV/atom

Cell: 7.030 9.712 16.849 Å, 90.00 90.00 90.00°
Space group Fmmm (No. 69)
One atom of each set of equivalent atoms:
Tb  0.248  0.000  0.000 (multiplicity 8)
Tb  0.250  0.250  0.250 (multiplicity 8)
Al  0.000  0.000  0.334 (multiplicity 8)
Cd  0.000  0.000  0.170 (multiplicity 8)
Cd  0.000  0.245  0.415 (multiplicity 16)

=====

Entry 11:
The following is a GGA-PBE calculation of an optimized crystal structure of TbAlCd, from the Alexandria database.

Values from the calculation:
Density of states at the Fermi level: 8.9 states/eV per cell
Energy of formation from the pure elements: -245.9 meV/atom

Cell: 4.241 4.241 16.392 Å, 90.00 90.00 90.00°
Space group I-4m2 (No. 119)
One atom of each set of equivalent atoms:
Tb  0.000  0.000  0.000 (multiplicity 2)
Tb  0.000  0.500  0.250 (multiplicity 2)
Al  0.000  0.000  0.424 (multiplicity 4)
Cd  0.000  0.500  0.666 (multiplicity 4)

=====

Entry 12:
The following is a GGA-PBE calculation of an optimized crystal structure of TbAlCd, from the Alexandria database.

Values from the calculation:
Density of states at the Fermi level: 4.7 states/eV per cell
Energy of formation from the pure elements: -348.7 meV/atom

Cell: 3.555 17.281 4.523 Å, 90.00 90.00 90.00°
Space group Cmcm (No. 63)
One atom of each set of equivalent atoms:
Tb  0.000  0.106  0.250 (multiplicity 4)
Al  0.000  0.459  0.250 (multiplicity 4)
Cd  0.000  0.292  0.250 (multiplicity 4)